No. 1
Computed, not measured: a geometry-optimized RbTcNO structure at the GGA-PBE level of DFT.

Computed properties:
energy above the most stable polymorph in this dataset = 85 meV/atom

Cell lengths 3.283, 6.262, 6.944 Å; angles 90.00, 90.00, 90.00 degrees
Fractional positions:
N (0.000, 0.998, 0.301)
N (0.000, 0.498, 0.699)
O (0.500, 0.254, 0.003)
O (0.500, 0.754, 0.997)
Rb (0.000, 0.501, 0.286)
Rb (0.000, 0.001, 0.714)
Tc (0.500, 0.001, 0.167)
Tc (0.500, 0.501, 0.833)

***

No. 2
Computed, not measured: a geometry-optimized RbTcNO structure at the GGA-PBE level of DFT.

Computed properties:
energy above the most stable polymorph in this dataset = 800 meV/atom

Cell lengths 3.699, 3.699, 10.750 Å; angles 90.01, 90.01, 89.93 degrees
Last column: magnetic moment on the atom in μB.
Fractional positions:
N (0.250, 0.250, 0.414)  0.00
N (0.750, 0.750, 0.582)  0.00
O (0.750, 0.250, 0.002)  -0.09
O (0.250, 0.750, 0.002)  -0.09
Rb (0.750, 0.750, 0.182)  0.00
Rb (0.250, 0.250, 0.822)  0.00
Tc (0.750, 0.250, 0.498)  0.06
Tc (0.250, 0.750, 0.498)  0.06

***

No. 3
Computed, not measured: a geometry-optimized RbTmNO structure at the GGA-PBE level of DFT.

Computed properties:
energy above the most stable polymorph in this dataset = 2 meV/atom

Cell lengths 3.629, 6.683, 7.380 Å; angles 90.00, 90.00, 90.00 degrees
Last column: magnetic moment on the atom in μB.
Fractional positions:
N (0.000, 0.802, 0.435)  0.61
N (0.000, 0.302, 0.565)  0.61
O (0.500, 0.448, 0.183)  0.04
O (0.500, 0.948, 0.817)  0.04
Rb (0.500, 0.007, 0.188)  0.01
Rb (0.500, 0.507, 0.812)  0.01
Tm (0.000, 0.497, 0.325)  0.01
Tm (0.000, 0.997, 0.675)  0.01

***

No. 4
Computed, not measured: a geometry-optimized RbTmNO structure at the GGA-PBE level of DFT.

Computed properties:
energy above the most stable polymorph in this dataset = 611 meV/atom

Cell lengths 4.503, 4.503, 10.057 Å; angles 90.00, 90.00, 89.96 degrees
Fractional positions:
N (0.250, 0.250, 0.457)
N (0.750, 0.750, 0.543)
O (0.750, 0.250, 0.000)
O (0.250, 0.750, 0.000)
Rb (0.250, 0.250, 0.141)
Rb (0.750, 0.750, 0.859)
Tm (0.750, 0.250, 0.500)
Tm (0.250, 0.750, 0.500)

***

No. 5
Computed, not measured: a geometry-optimized RbTmNO structure at the GGA-PBE level of DFT.

Computed properties:
energy above the most stable polymorph in this dataset = 62 meV/atom

Cell lengths 6.559, 9.267, 6.029 Å; angles 90.00, 90.00, 90.00 degrees
Fractional positions:
N (0.506, 0.185, 0.052)
N (0.006, 0.815, 0.052)
N (0.994, 0.185, 0.552)
N (0.494, 0.815, 0.552)
O (0.879, 0.451, 0.134)
O (0.379, 0.549, 0.134)
O (0.621, 0.451, 0.634)
O (0.121, 0.549, 0.634)
Rb (0.057, 0.127, 0.034)
Rb (0.557, 0.873, 0.034)
Rb (0.443, 0.127, 0.534)
Rb (0.943, 0.873, 0.534)
Tm (0.909, 0.404, 0.482)
Tm (0.409, 0.596, 0.482)
Tm (0.591, 0.404, 0.982)
Tm (0.091, 0.596, 0.982)

***

No. 6
Computed, not measured: a geometry-optimized RbTmNO structure at the GGA-PBE level of DFT.

Computed properties:
energy above the most stable polymorph in this dataset = 635 meV/atom

Cell lengths 4.498, 4.498, 9.559 Å; angles 90.00, 90.00, 90.00 degrees
Fractional positions:
N (0.750, 0.750, 0.457)
N (0.250, 0.250, 0.543)
O (0.750, 0.250, 0.000)
O (0.250, 0.750, 0.000)
Rb (0.250, 0.250, 0.148)
Rb (0.750, 0.750, 0.852)
Tm (0.750, 0.250, 0.500)
Tm (0.250, 0.750, 0.500)

***

No. 7
Computed, not measured: a geometry-optimized RbTmNO structure at the GGA-PBE level of DFT.

Computed properties:
energy above the most stable polymorph in this dataset = 562 meV/atom

Cell lengths 3.998, 3.998, 8.798 Å; angles 90.00, 90.00, 90.00 degrees
Last column: magnetic moment on the atom in μB.
Fractional positions:
N (0.000, 0.500, 0.278)  0.66
N (0.500, 0.000, 0.722)  0.66
O (0.000, 0.000, 0.000)  0.04
O (0.500, 0.500, 0.000)  0.04
Rb (0.000, 0.000, 0.500)  0.01
Rb (0.500, 0.500, 0.500)  0.01
Tm (0.500, 0.000, 0.110)  -0.04
Tm (0.000, 0.500, 0.890)  -0.04

***

No. 8
Computed, not measured: a geometry-optimized RbTmNO structure at the GGA-PBE level of DFT.

Computed properties:
energy above the most stable polymorph in this dataset = 0 meV/atom

Cell lengths 3.883, 6.274, 7.504 Å; angles 90.00, 90.00, 90.00 degrees
Fractional positions:
N (0.000, 0.942, 0.284)
N (0.000, 0.442, 0.716)
O (0.500, 0.331, 0.094)
O (0.500, 0.831, 0.906)
Rb (0.000, 0.478, 0.331)
Rb (0.000, 0.978, 0.669)
Tm (0.500, 0.004, 0.145)
Tm (0.500, 0.504, 0.855)

***

Question: Which formula does entry 2 have?
Answer: RbTcNO

***

Question: Among the records above, which one has the lowest energy above the most stable polymorph in this dataset?
Answer: number 8

***

Question: The highest energy above the most stable polymorph in this dataset belongs to which entry?
Answer: number 2

***

Question: Which of these has the lowest energy above the most stable polymorph in this dataset?
Answer: number 8